No. 1
Entry from Alexandria via LeMat-Bulk: a relaxed structure of Ba3SnBr (PBE-GGA).

a b c (Å): 6.1412 6.1412 6.1412
angles (deg): 90.00 90.00 90.00
With the nearest neighbours (Å) after each atom.
Atoms (fractional coordinates):
Sn 0.5000 0.5000 0.5000  12 Ba 4.34
Ba 0.5000 0.0000 0.0000  2 Br 3.07
Ba 0.0000 0.5000 0.0000  2 Br 3.07
Ba 0.0000 0.0000 0.5000  2 Br 3.07
Br 0.0000 0.0000 0.0000  6 Ba 3.07

Final energy: -14.8 eV/cell
Crystal system: cubic
Offset from the most stable computed form: 302 meV/atom
Total magnetic moment: 0.000 μB/f.u.

No. 2
Entry from Alexandria via LeMat-Bulk: a relaxed structure of Ba5SnBr5 (PBE-GGA).

a b c (Å): 6.7989 8.3874 9.7084
angles (deg): 106.82 90.00 113.91
With the nearest neighbours (Å) after each atom.
Atoms (fractional coordinates):
Br 0.0000 0.0000 0.5000  4 Ba 3.37-3.38
Ba 0.1601 0.3203 0.8330  1 Sn 3.34, 5 Br 3.38-3.44
Ba 0.8399 0.6797 0.1670  1 Sn 3.34, 5 Br 3.38-3.44
Ba 0.1594 0.3187 0.3271  1 Sn 3.34, 5 Br 3.37-3.44
Br 0.3264 0.6529 0.1632  5 Ba 3.41-3.50
Sn 0.0000 0.0000 0.0000  6 Ba 3.34-3.40
Br 0.3259 0.6517 0.6627  5 Ba 3.41-3.51
Br 0.6736 0.3471 0.8368  5 Ba 3.41-3.50
Br 0.6741 0.3483 0.3373  5 Ba 3.41-3.51
Ba 0.5000 0.0000 0.0000  2 Sn 3.40, 4 Br 3.50-3.51
Ba 0.8406 0.6813 0.6729  1 Sn 3.34, 5 Br 3.37-3.44

Final energy: -40.0 eV/cell
Crystal system: monoclinic
Total magnetic moment: 0.000 μB/f.u.

No. 3
Entry from Alexandria via LeMat-Bulk: a relaxed structure of Ba4Sn6Br19 (PBE-GGA).

a b c (Å): 11.0746 11.0746 11.0746
angles (deg): 109.47 109.47 109.47
With the nearest neighbours (Å) after each atom.
Atoms (fractional coordinates):
Br 0.0513 0.4090 0.7922  2 Sn 2.96-2.99
Br 0.2891 0.2891 0.0000  2 Sn 3.21, 2 Ba 3.29
Ba 0.6898 0.0000 0.0000  7 Br 3.29-3.55
Sn 0.5000 0.1361 0.6361  6 Br 2.96-3.21
Br 0.3831 0.5910 0.6423  2 Sn 2.96-2.99
Sn 0.1361 0.6361 0.5000  6 Br 2.96-3.21
Br 0.0000 0.2891 0.2891  2 Sn 3.21, 2 Ba 3.29
Sn 0.6361 0.5000 0.1361  6 Br 2.96-3.21
Sn 0.3639 0.5000 0.8639  6 Br 2.96-3.21
Br 0.0000 0.7109 0.7109  2 Sn 3.21, 2 Ba 3.29
Br 0.3577 0.9487 0.7408  2 Sn 2.96-2.99
Br 0.9487 0.7408 0.3577  2 Sn 2.96-2.99
Br 0.6169 0.2592 0.2078  2 Sn 2.96-2.99
Sn 0.5000 0.8639 0.3639  6 Br 2.96-3.21
Ba 0.3102 0.3102 0.3102  7 Br 3.29-3.55
Br 0.7109 0.7109 0.0000  2 Sn 3.21, 2 Ba 3.29
Ba 0.0000 0.0000 0.6898  7 Br 3.29-3.55
Br 0.2891 0.0000 0.2891  2 Sn 3.21, 2 Ba 3.29
Br 0.0000 0.0000 0.0000  4 Ba 3.44, 6 Br 3.70
Br 0.4090 0.7922 0.0513  2 Sn 2.96-2.99
Br 0.6423 0.3831 0.5910  2 Sn 2.96-2.99
Br 0.2592 0.2078 0.6169  2 Sn 2.96-2.99
Br 0.7109 0.0000 0.7109  2 Sn 3.21, 2 Ba 3.29
Ba 0.0000 0.6898 0.0000  7 Br 3.29-3.55
Sn 0.8639 0.3639 0.5000  6 Br 2.96-3.21
Br 0.5910 0.6423 0.3831  2 Sn 2.96-2.99
Br 0.7922 0.0513 0.4090  2 Sn 2.96-2.99
Br 0.2078 0.6169 0.2592  2 Sn 2.96-2.99
Br 0.7408 0.3577 0.9487  2 Sn 2.96-2.99

Final energy: -100.1 eV/cell
Crystal system: cubic
Total magnetic moment: 0.740 μB/f.u.

No. 4
Entry from Alexandria via LeMat-Bulk: a relaxed structure of BaSnBr3 (PBE-GGA).

a b c (Å): 6.2448 6.2448 6.2448
angles (deg): 90.00 90.00 90.00
With the nearest neighbours (Å) after each atom.
Atoms (fractional coordinates):
Br 0.0000 0.0000 0.5000  2 Ba 3.12
Sn 0.5000 0.5000 0.5000  12 Br 4.42
Ba 0.0000 0.0000 0.0000  6 Br 3.12
Br 0.0000 0.5000 0.0000  2 Ba 3.12
Br 0.5000 0.0000 0.0000  2 Ba 3.12

Final energy: -15.6 eV/cell
Crystal system: cubic
Total magnetic moment: 1.000 μB/f.u.

No. 5
Entry from Alexandria via LeMat-Bulk: a relaxed structure of Ba2SnBr6 (PBE-GGA).

a b c (Å): 7.3686 7.3686 14.5915
angles (deg): 90.00 90.00 90.00
With the nearest neighbours (Å) after each atom.
Atoms (fractional coordinates):
Br 0.3107 0.3107 0.6564  1 Sn 3.02, 2 Ba 3.24-3.25
Ba 0.0000 0.0000 0.6667  6 Br 3.24-3.26
Br 0.2084 0.7916 0.5000  1 Sn 3.04, 2 Ba 3.26
Sn 0.5000 0.5000 0.5000  6 Br 3.02-3.04
Br 0.8107 0.1893 0.1564  1 Sn 3.02, 2 Ba 3.24-3.25
Ba 0.0000 0.0000 0.3333  6 Br 3.24-3.26
Br 0.8107 0.1893 0.8436  1 Sn 3.02, 2 Ba 3.24-3.25
Br 0.7084 0.7084 0.0000  1 Sn 3.04, 2 Ba 3.26
Br 0.1893 0.8107 0.1564  1 Sn 3.02, 2 Ba 3.24-3.25
Br 0.6893 0.6893 0.3436  1 Sn 3.02, 2 Ba 3.24-3.25
Br 0.7916 0.2084 0.5000  1 Sn 3.04, 2 Ba 3.26
Br 0.2916 0.2916 0.0000  1 Sn 3.04, 2 Ba 3.26
Br 0.3107 0.3107 0.3436  1 Sn 3.02, 2 Ba 3.24-3.25
Ba 0.5000 0.5000 0.1667  6 Br 3.24-3.26
Ba 0.5000 0.5000 0.8333  6 Br 3.24-3.26
Br 0.6893 0.6893 0.6564  1 Sn 3.02, 2 Ba 3.24-3.25
Sn 0.0000 0.0000 0.0000  6 Br 3.02-3.04
Br 0.1893 0.8107 0.8436  1 Sn 3.02, 2 Ba 3.24-3.25

Final energy: -66.0 eV/cell
Crystal system: tetragonal
Offset from the most stable computed form: 20 meV/atom
Total magnetic moment: 0.000 μB/f.u.

No. 6
Entry from Alexandria via LeMat-Bulk: a relaxed structure of Ba3SnBr2 (PBE-GGA).

a b c (Å): 6.9113 9.7605 14.9335
angles (deg): 90.00 90.00 90.00
With the nearest neighbours (Å) after each atom.
Atoms (fractional coordinates):
Ba 0.2500 0.1147 0.9221  3 Br 3.45-3.64, 3 Sn 3.48-3.57
Br 0.7500 0.6329 0.2570  6 Ba 3.44-3.64
Sn 0.7500 0.6510 0.5865  6 Ba 3.32-3.57
Ba 0.7500 0.8851 0.7544  2 Sn 3.39-3.52, 4 Br 3.44-3.46
Ba 0.2500 0.1205 0.5782  1 Sn 3.32, 5 Br 3.44-3.64
Sn 0.2500 0.3490 0.4135  6 Ba 3.32-3.57
Br 0.7500 0.6276 0.9128  6 Ba 3.44-3.52
Br 0.7500 0.1276 0.5872  6 Ba 3.44-3.52
Br 0.7500 0.1329 0.2430  6 Ba 3.44-3.64
Br 0.2500 0.8724 0.4128  6 Ba 3.44-3.52
Ba 0.7500 0.8795 0.4218  1 Sn 3.32, 5 Br 3.44-3.64
Ba 0.7500 0.8853 0.0779  3 Br 3.45-3.64, 3 Sn 3.48-3.57
Sn 0.7500 0.1510 0.9135  6 Ba 3.32-3.57
Br 0.2500 0.8671 0.7570  6 Ba 3.44-3.64
Ba 0.2500 0.6147 0.5779  3 Br 3.45-3.64, 3 Sn 3.48-3.57
Ba 0.7500 0.3853 0.4221  3 Br 3.45-3.64, 3 Sn 3.48-3.57
Ba 0.7500 0.3851 0.7456  2 Sn 3.39-3.52, 4 Br 3.44-3.46
Br 0.2500 0.3724 0.0872  6 Ba 3.44-3.52
Ba 0.2500 0.6205 0.9218  1 Sn 3.32, 5 Br 3.44-3.64
Sn 0.2500 0.8490 0.0865  6 Ba 3.32-3.57
Ba 0.2500 0.6149 0.2544  2 Sn 3.39-3.52, 4 Br 3.44-3.46
Br 0.2500 0.3671 0.7430  6 Ba 3.44-3.64
Ba 0.2500 0.1149 0.2456  2 Sn 3.39-3.52, 4 Br 3.44-3.46
Ba 0.7500 0.3795 0.0782  1 Sn 3.32, 5 Br 3.44-3.64

Final energy: -85.2 eV/cell
Crystal system: orthorhombic
Total magnetic moment: 0.000 μB/f.u.

No. 7
Entry from Alexandria via LeMat-Bulk: a relaxed structure of Ba3Sn5Br12 (PBE-GGA).

a b c (Å): 16.2463 16.2463 16.2463
angles (deg): 109.47 109.47 109.47
With the nearest neighbours (Å) after each atom.
Atoms (fractional coordinates):
Br 0.5866 0.9489 0.6659  2 Sn 3.04-3.11
Br 0.7170 0.5794 0.1659  2 Sn 3.04-3.11
Br 0.3341 0.7830 0.4206  2 Sn 3.04-3.11
Br 0.0866 0.9206 0.1377  2 Sn 3.04-3.11
Sn 0.8750 0.2500 0.6250  4 Br 3.04
Br 0.5794 0.8623 0.4134  2 Sn 3.04-3.11
Br 0.8623 0.2830 0.4489  2 Sn 3.04-3.11
Br 0.0794 0.1659 0.2170  2 Sn 3.04-3.11
Sn 0.3750 0.1250 0.7500  4 Br 3.04
Sn 0.6250 0.7500 0.8750  4 Br 3.04
Sn 0.1250 0.7500 0.3750  4 Br 3.04
Ba 0.7500 0.8750 0.6250  8 Br 3.42-3.51
Br 0.4489 0.7830 0.8623  2 Sn 3.04-3.11
Br 0.9206 0.8341 0.7830  2 Sn 3.04-3.11
Br 0.6377 0.0511 0.2170  2 Sn 3.04-3.11
Ba 0.3750 0.7500 0.6250  8 Br 3.42-3.51
Br 0.4206 0.2830 0.3341  2 Sn 3.04-3.11
Sn 0.3750 0.2500 0.1250  4 Br 3.04
Sn 0.0000 0.0000 0.0000  6 Br 3.11
Br 0.4206 0.1377 0.5866  2 Sn 3.04-3.11
Br 0.4489 0.6659 0.0866  2 Sn 3.04-3.11
Br 0.9134 0.8341 0.5511  2 Sn 3.04-3.11
Br 0.5794 0.7170 0.6659  2 Sn 3.04-3.11
Br 0.1659 0.0794 0.7170  2 Sn 3.04-3.11
Br 0.7830 0.3341 0.9206  2 Sn 3.04-3.11
Br 0.3623 0.9489 0.7830  2 Sn 3.04-3.11
Ba 0.8750 0.1250 0.2500  8 Br 3.42-3.51
Br 0.8623 0.5794 0.9134  2 Sn 3.04-3.11
Br 0.3341 0.5511 0.4134  2 Sn 3.04-3.11
Ba 0.8750 0.7500 0.1250  8 Br 3.42-3.51
Br 0.4134 0.0511 0.3341  2 Sn 3.04-3.11
Sn 0.5000 0.5000 0.0000  6 Br 3.11
Sn 0.5000 0.5000 0.5000  6 Br 3.11
Br 0.2830 0.4206 0.8341  2 Sn 3.04-3.11
Sn 0.7500 0.6250 0.3750  4 Br 3.04
Sn 0.2500 0.8750 0.1250  4 Br 3.04
Sn 0.5000 0.0000 0.0000  6 Br 3.11
Br 0.9206 0.0866 0.6377  2 Sn 3.04-3.11
Ba 0.2500 0.6250 0.8750  8 Br 3.42-3.51
Br 0.8341 0.9134 0.0511  2 Sn 3.04-3.11
Br 0.1659 0.0866 0.9489  2 Sn 3.04-3.11
Sn 0.0000 0.5000 0.5000  6 Br 3.11
Ba 0.1250 0.2500 0.8750  8 Br 3.42-3.51
Br 0.1377 0.4206 0.0866  2 Sn 3.04-3.11
Ba 0.6250 0.3750 0.7500  8 Br 3.42-3.51
Br 0.8341 0.9206 0.2830  2 Sn 3.04-3.11
Br 0.0511 0.4134 0.8341  2 Sn 3.04-3.11
Sn 0.2500 0.3750 0.6250  4 Br 3.04
Br 0.9134 0.0794 0.8623  2 Sn 3.04-3.11
Br 0.9489 0.5866 0.1659  2 Sn 3.04-3.11
Br 0.4134 0.3623 0.5794  2 Sn 3.04-3.11
Sn 0.6250 0.8750 0.2500  4 Br 3.04
Ba 0.6250 0.2500 0.3750  8 Br 3.42-3.51
Br 0.3623 0.4134 0.0794  2 Sn 3.04-3.11
Br 0.5511 0.2170 0.1377  2 Sn 3.04-3.11
Br 0.6377 0.5866 0.9206  2 Sn 3.04-3.11
Br 0.9489 0.3623 0.2830  2 Sn 3.04-3.11
Sn 0.1250 0.3750 0.2500  4 Br 3.04
Br 0.2830 0.8623 0.9489  2 Sn 3.04-3.11
Sn 0.7500 0.1250 0.8750  4 Br 3.04
Br 0.5866 0.6377 0.4206  2 Sn 3.04-3.11
Ba 0.2500 0.1250 0.3750  8 Br 3.42-3.51
Sn 0.0000 0.0000 0.5000  6 Br 3.11
Br 0.0866 0.1659 0.4489  2 Sn 3.04-3.11
Br 0.6659 0.4489 0.5866  2 Sn 3.04-3.11
Br 0.0511 0.6377 0.7170  2 Sn 3.04-3.11
Br 0.5511 0.3341 0.9134  2 Sn 3.04-3.11
Br 0.7830 0.4489 0.3623  2 Sn 3.04-3.11
Sn 0.5000 0.0000 0.5000  6 Br 3.11
Ba 0.1250 0.8750 0.7500  8 Br 3.42-3.51
Br 0.1377 0.7170 0.5511  2 Sn 3.04-3.11
Br 0.6659 0.2170 0.5794  2 Sn 3.04-3.11
Ba 0.7500 0.3750 0.1250  8 Br 3.42-3.51
Ba 0.3750 0.6250 0.2500  8 Br 3.42-3.51
Br 0.7170 0.1377 0.0511  2 Sn 3.04-3.11
Br 0.2170 0.5511 0.6377  2 Sn 3.04-3.11
Sn 0.0000 0.5000 0.0000  6 Br 3.11
Br 0.0794 0.9134 0.3623  2 Sn 3.04-3.11
Br 0.2170 0.6659 0.0794  2 Sn 3.04-3.11
Sn 0.8750 0.6250 0.7500  4 Br 3.04

Final energy: -261.3 eV/cell
Crystal system: cubic
Total magnetic moment: 3.995 μB/f.u.

No. 8
Entry from Alexandria via LeMat-Bulk: a relaxed structure of Ba2SnBr6 (PBE-GGA).

a b c (Å): 7.3997 8.6638 10.4758
angles (deg): 90.00 88.47 90.00
With the nearest neighbours (Å) after each atom.
Atoms (fractional coordinates):
Br 0.8365 0.6691 0.0635  1 Sn 2.98, 1 Ba 3.30
Sn 0.5000 0.5000 0.0000  6 Br 2.96-3.01
Br 0.3697 0.5405 0.2670  1 Sn 2.96, 2 Ba 3.27-3.28
Br 0.3407 0.8104 0.9411  1 Sn 3.01
Ba 0.9641 0.3889 0.2545  8 Br 3.27-3.64
Ba 0.5359 0.8889 0.2455  8 Br 3.27-3.64
Ba 0.4641 0.1111 0.7545  8 Br 3.27-3.64
Br 0.1635 0.3309 0.9365  1 Sn 2.98, 1 Ba 3.30
Ba 0.0359 0.6111 0.7455  8 Br 3.27-3.64
Br 0.6635 0.1691 0.4365  1 Sn 2.98, 1 Ba 3.30
Br 0.6303 0.4595 0.7330  1 Sn 2.96, 2 Ba 3.27-3.28
Br 0.1593 0.3104 0.5589  1 Sn 3.01
Br 0.8407 0.6896 0.4411  1 Sn 3.01
Br 0.8697 0.9595 0.7670  1 Sn 2.96, 2 Ba 3.27-3.28
Br 0.3365 0.8309 0.5635  1 Sn 2.98, 1 Ba 3.30
Sn 0.0000 0.0000 0.5000  6 Br 2.96-3.01
Br 0.1303 0.0405 0.2330  1 Sn 2.96, 2 Ba 3.27-3.28
Br 0.6593 0.1896 0.0589  1 Sn 3.01

Final energy: -66.4 eV/cell
Crystal system: monoclinic
Offset from the most stable computed form: 0 meV/atom
Total magnetic moment: 0.000 μB/f.u.